Record 1
A geometry-optimized CdIn2H structure, computed with PBE.

Cell and atoms, written as extended XYZ:
```
8
Lattice="3.144 0.000 0.000 -0.123 6.309 0.000 -1.338 -2.103 8.411" Properties=species:S:1:pos:R:3 pbc="T T T"
Cd -0.001 2.044 1.080
Cd 1.684 2.161 7.331
In 0.016 0.611 4.207
In 0.255 -1.236 6.910
In 1.429 5.441 1.501
In 1.667 3.594 4.204
H 0.107 1.234 6.306
H 1.577 2.972 2.105
```

Values from the calculation:
Total energy: -17.89 eV per cell
Crystal system: triclinic
Energy above the lowest structure with this stoichiometry: 0 kJ/mol of formula units
Fermi-level density of states: 0.27 states/eV/atom


Record 2
A geometry-optimized CdIn2H structure, computed with PBE.

Cell and atoms, written as extended XYZ:
```
16
Lattice="6.973 0.000 0.000 0.000 6.973 0.000 0.000 0.000 6.973" Properties=species:S:1:pos:R:3 pbc="T T T"
Cd 0.000 0.000 0.000
Cd 0.000 3.486 3.486
Cd 3.486 0.000 3.486
Cd 3.486 3.486 0.000
In 1.743 1.743 1.743
In 1.743 1.743 5.230
In 1.743 5.230 1.743
In 1.743 5.230 5.230
In 5.230 1.743 1.743
In 5.230 1.743 5.230
In 5.230 5.230 1.743
In 5.230 5.230 5.230
H 0.000 0.000 3.486
H 0.000 3.486 0.000
H 3.486 0.000 0.000
H 3.486 3.486 3.486
```

Values from the calculation:
Total energy: -32.62 eV per cell
Crystal system: cubic
Energy above the lowest structure with this stoichiometry: 76 kJ/mol of formula units
Fermi-level density of states: 0.55 states/eV/atom


Record 3
A geometry-optimized Cd3InH2 structure, computed with PBE.

Cell and atoms, written as extended XYZ:
```
12
Lattice="5.442 -3.047 0.000 5.442 3.047 0.000 0.000 0.000 7.329" Properties=species:S:1:pos:R:3 pbc="T T T"
Cd 2.720 0.003 5.497
Cd 5.442 1.528 5.497
Cd 2.720 -0.003 1.832
Cd 8.164 0.003 5.497
Cd 5.442 -1.528 1.832
Cd 8.164 -0.003 1.832
In 5.442 1.519 1.832
In 5.442 -1.519 5.497
H 2.727 0.000 0.000
H 2.727 0.000 3.665
H 8.158 0.000 0.000
H 8.158 0.000 3.665
```

Values from the calculation:
Total energy: -20.98 eV per cell
Crystal system: orthorhombic
Fermi-level density of states: 0.31 states/eV/atom


Record 4
A geometry-optimized Cd3InH structure, computed with PBE.

Cell and atoms, written as extended XYZ:
```
5
Lattice="4.653 0.000 0.000 0.000 4.653 0.000 0.000 0.000 4.653" Properties=species:S:1:pos:R:3 pbc="T T T"
Cd 0.000 0.000 2.327
Cd 0.000 2.327 0.000
Cd 2.327 0.000 0.000
In 2.327 2.327 2.327
H 0.000 0.000 0.000
```

Values from the calculation:
Total energy: -7.50 eV per cell
Crystal system: cubic
Fermi-level density of states: 0.40 states/eV/atom


Record 5
A geometry-optimized LaCdIn2H structure, computed with PBE.

Cell and atoms, written as extended XYZ:
```
5
Lattice="4.864 0.000 0.000 0.000 4.864 0.000 0.000 0.000 4.681" Properties=species:S:1:pos:R:3 pbc="T T T"
La 0.000 0.000 0.000
Cd 2.432 2.432 0.000
In 0.000 2.432 2.340
In 2.432 0.000 2.340
H 0.000 0.000 2.340
```

Values from the calculation:
Total energy: -16.03 eV per cell
Crystal system: tetragonal
Energy above the lowest structure with this stoichiometry: 0 kJ/mol of formula units
Fermi-level density of states: 0.43 states/eV/atom


Record 6
A geometry-optimized LaCdIn2H structure, computed with PBE.

Cell and atoms, written as extended XYZ:
```
5
Lattice="5.874 0.000 0.000 0.000 5.874 0.000 0.000 0.000 3.688" Properties=species:S:1:pos:R:3 pbc="T T T"
La 0.000 0.000 0.000
Cd 2.937 2.937 1.844
In 0.000 2.937 1.844
In 2.937 0.000 1.844
H 2.937 2.937 0.000
```

Values from the calculation:
Total energy: -14.36 eV per cell
Crystal system: tetragonal
Energy above the lowest structure with this stoichiometry: 162 kJ/mol of formula units
Fermi-level density of states: 0.82 states/eV/atom


Record 7
A geometry-optimized LiCdIn2H structure, computed with PBE.

Cell and atoms, written as extended XYZ:
```
5
Lattice="4.789 0.000 0.000 0.000 4.789 0.000 0.000 0.000 4.170" Properties=species:S:1:pos:R:3 pbc="T T T"
Li 0.000 0.000 0.000
Cd 2.395 2.395 0.000
In 0.000 2.395 2.085
In 2.395 0.000 2.085
H 0.000 0.000 2.085
```

Values from the calculation:
Total energy: -11.58 eV per cell
Crystal system: tetragonal
Fermi-level density of states: 0.32 states/eV/atom


Record 8
A geometry-optimized NaCd2InH structure, computed with PBE.

Cell and atoms, written as extended XYZ:
```
5
Lattice="4.689 0.000 0.000 0.000 4.689 0.000 0.000 0.000 4.433" Properties=species:S:1:pos:R:3 pbc="T T T"
Na 0.000 0.000 0.000
Cd 0.000 2.345 2.216
Cd 2.345 0.000 2.216
In 2.345 2.345 0.000
H 0.000 0.000 2.216
```

Values from the calculation:
Total energy: -8.76 eV per cell
Crystal system: tetragonal
Fermi-level density of states: 0.29 states/eV/atom


Record 9
A geometry-optimized NaCdIn2H structure, computed with PBE.

Cell and atoms, written as extended XYZ:
```
5
Lattice="4.840 0.000 0.000 0.000 4.840 0.000 0.000 0.000 4.468" Properties=species:S:1:pos:R:3 pbc="T T T"
Na 0.000 0.000 0.000
Cd 2.420 2.420 0.000
In 0.000 2.420 2.234
In 2.420 0.000 2.234
H 0.000 0.000 2.234
```

Values from the calculation:
Total energy: -10.76 eV per cell
Crystal system: tetragonal
Fermi-level density of states: 0.28 states/eV/atom


Record 10
A geometry-optimized CdInP2H structure, computed with PBE.

Cell and atoms, written as extended XYZ:
```
5
Lattice="4.252 0.000 0.000 0.000 4.252 0.000 0.000 0.000 4.627" Properties=species:S:1:pos:R:3 pbc="T T T"
Cd 0.000 0.000 0.000
In 2.126 2.126 0.000
P 0.000 2.126 2.313
P 2.126 0.000 2.313
H 2.126 2.126 2.313
```

Values from the calculation:
Total energy: -14.76 eV per cell
Crystal system: tetragonal
Fermi-level density of states: 0.26 states/eV/atom


Record 11
A geometry-optimized CdInHPb2 structure, computed with PBE.

Cell and atoms, written as extended XYZ:
```
5
Lattice="4.919 0.000 0.000 0.000 4.919 0.000 0.000 0.000 4.937" Properties=species:S:1:pos:R:3 pbc="T T T"
Cd 0.000 0.000 0.000
In 2.460 2.460 0.000
H 2.460 2.460 2.469
Pb 0.000 2.460 2.469
Pb 2.460 0.000 2.469
```

Values from the calculation:
Total energy: -13.27 eV per cell
Crystal system: tetragonal
Energy above the lowest structure with this stoichiometry: 1 kJ/mol of formula units
Fermi-level density of states: 0.40 states/eV/atom


Record 12
A geometry-optimized CdInHPb2 structure, computed with PBE.

Cell and atoms, written as extended XYZ:
```
5
Lattice="4.998 0.000 0.000 0.000 4.998 0.000 0.000 0.000 4.763" Properties=species:S:1:pos:R:3 pbc="T T T"
Cd 0.000 0.000 0.000
In 2.499 2.499 0.000
H 0.000 0.000 2.381
Pb 0.000 2.499 2.381
Pb 2.499 0.000 2.381
```

Values from the calculation:
Total energy: -13.28 eV per cell
Crystal system: tetragonal
Energy above the lowest structure with this stoichiometry: 0 kJ/mol of formula units
Fermi-level density of states: 0.40 states/eV/atom


Record 13
A geometry-optimized CdIn2HPt structure, computed with PBE.

Cell and atoms, written as extended XYZ:
```
5
Lattice="5.466 0.000 0.000 0.000 5.466 0.000 0.000 0.000 3.455" Properties=species:S:1:pos:R:3 pbc="T T T"
Cd 0.000 0.000 0.000
In 0.000 2.733 1.728
In 2.733 0.000 1.728
H 2.733 2.733 0.000
Pt 2.733 2.733 1.728
```

Values from the calculation:
Total energy: -16.03 eV per cell
Crystal system: tetragonal
Fermi-level density of states: 0.39 states/eV/atom